# 1
{"formula": "PrNd2ScBi4", "functional": "PBE-GGA", "state": "relaxed", "space_group": "No. 10", "cell": [[4.546, 0.000, 0.000], [0.000, 7.859, 0.132], [0.000, -2.751, 7.368]], "species": ["Bi", "Bi", "Bi", "Bi", "Pr", "Sc", "Nd", "Nd"], "fractional_positions": [[0.500, 0.741, 0.756], [0.000, 0.266, 0.764], [0.500, 0.259, 0.244], [0.000, 0.734, 0.236], [0.000, 0.000, 0.000], [0.500, 0.500, 0.000], [0.500, 0.000, 0.500], [0.000, 0.500, 0.500]]}

# 2
{"formula": "Pr2NdSm3Bi6", "functional": "PBE-GGA", "state": "relaxed", "space_group": "No. 12", "cell": [[-2.503, -3.161, -2.207], [0.274, -5.401, 7.426], [-6.984, 7.075, 2.574]], "species": ["Sm", "Sm", "Sm", "Pr", "Pr", "Bi", "Bi", "Bi", "Bi", "Bi", "Bi", "Nd"], "fractional_positions": [[0.833, 0.167, 0.666], [0.167, 0.833, 0.334], [0.500, 0.500, 0.000], [0.166, 0.333, 0.333], [0.834, 0.667, 0.667], [0.334, 0.414, 0.669], [0.667, 0.080, 0.335], [0.666, 0.586, 0.331], [0.001, 0.749, 0.003], [0.333, 0.920, 0.665], [0.999, 0.251, 0.997], [0.500, 0.000, 0.000]]}

# 3
{"formula": "PrNdSm2Bi4", "functional": "PBE-GGA", "state": "relaxed", "space_group": "No. 10", "cell": [[-1.461, 2.647, 3.460], [2.877, -5.251, 5.233], [7.531, 1.862, 1.756]], "species": ["Bi", "Bi", "Bi", "Bi", "Pr", "Sm", "Sm", "Nd"], "fractional_positions": [[0.000, 0.755, 0.748], [0.500, 0.754, 0.250], [0.500, 0.246, 0.750], [0.000, 0.245, 0.252], [0.500, 0.500, 0.000], [0.500, 0.000, 0.500], [0.000, 0.000, 0.000], [0.000, 0.500, 0.500]]}

# 4
{"formula": "PrNdSm2Bi5", "functional": "PBE-GGA", "state": "relaxed", "space_group": "No. 123", "cell": [[-0.355, -3.381, -4.388], [5.003, -2.083, 1.201], [-5.213, -8.500, 6.972]], "species": ["Nd", "Sm", "Sm", "Bi", "Bi", "Bi", "Bi", "Bi", "Pr"], "fractional_positions": [[0.000, 0.000, 0.500], [0.500, 0.500, 0.270], [0.500, 0.500, 0.730], [0.500, 0.500, 0.000], [0.000, 0.000, 0.247], [0.000, 0.500, 0.500], [0.000, 0.000, 0.753], [0.500, 0.000, 0.500], [0.000, 0.000, 0.000]]}

# 5
{"formula": "PrNd2SmBi5", "functional": "PBE-GGA", "state": "relaxed", "space_group": "No. 123", "cell": [[5.506, 0.000, 0.000], [0.000, 5.506, 0.000], [0.000, 0.000, 12.176]], "species": ["Bi", "Bi", "Bi", "Bi", "Bi", "Sm", "Pr", "Nd", "Nd"], "fractional_positions": [[0.000, 0.000, 0.248], [0.500, 0.500, 0.000], [0.000, 0.500, 0.500], [0.000, 0.000, 0.752], [0.500, 0.000, 0.500], [0.000, 0.000, 0.500], [0.000, 0.000, 0.000], [0.500, 0.500, 0.728], [0.500, 0.500, 0.272]]}

# 6
{"formula": "PrNd2SmBi4", "functional": "PBE-GGA", "state": "relaxed", "space_group": "No. 10", "cell": [[-1.332, 2.921, 3.304], [-7.600, -0.948, -2.226], [-3.222, -6.061, 4.060]], "species": ["Bi", "Bi", "Bi", "Bi", "Nd", "Nd", "Sm", "Pr"], "fractional_positions": [[0.000, 0.250, 0.252], [0.500, 0.749, 0.253], [0.000, 0.750, 0.748], [0.500, 0.251, 0.747], [0.000, 0.000, 0.000], [0.500, 0.000, 0.500], [0.000, 0.500, 0.500], [0.500, 0.500, 0.000]]}

| no. | electronic total energy (eV per atom) |
| --- | --- |
| 1 | -5.3732 |
| 2 | -5.2551 |
| 3 | -5.2535 |
| 4 | -4.2623 |
| 5 | -4.3642 |
| 6 | -5.2652 |